This record from Alexandria describes an optimized crystal structure of KPmIn. The functional is PBE.

Results
Its formation energy from the elements is 0.08 eV/atom. Its density of states at the Fermi level is 3.7 states/eV/cell. Its crystal system is orthorhombic.

POSCAR file:
```
KPmIn
1.0
-2.733 0.781 2.383
2.808 -2.089 1.019
9.392 15.414 5.722
Pm In K
2 2 2
Direct
0.220 0.441 0.866
0.220 0.441 0.134
0.329 0.658 0.500
0.561 0.121 0.000
0.668 0.336 0.665
0.668 0.336 0.335
```